1.
DFT (PBE) results for a geometry-optimized Er2ScTl4 structure.

Structure (CIF):
```
data_Er2ScTl4
_space_group_name_H-M_alt 'I 4/m m m'
_space_group_IT_number 139
_space_group_name_Hall '-I 4 2'
_cell_length_a 7.150
_cell_length_b 7.150
_cell_length_c 7.716
_cell_angle_alpha 90.00
_cell_angle_beta 90.00
_cell_angle_gamma 90.00
loop_
_atom_site_label
_atom_site_type_symbol
_atom_site_fract_x
_atom_site_fract_y
_atom_site_fract_z
_atom_site_occupancy
Er1 Er 0.000 0.500 0.000 1
Sc1 Sc 0.000 0.000 0.000 1
Tl1 Tl 0.250 0.250 0.250 1
```

Summary:
* energy of formation: -0.19 eV/atom
* crystal system: tetragonal
* energy relative to the lowest polymorph listed for this composition: 0.000 eV per atom



2.
DFT (PBE) results for a geometry-optimized DySCl structure.

Structure (CIF):
```
data_DySCl
_space_group_name_H-M_alt 'P 3 m 1'
_space_group_IT_number 156
_cell_length_a 4.0281
_cell_length_b 4.0281
_cell_length_c 6.5546
_cell_angle_alpha 90.00
_cell_angle_beta 90.00
_cell_angle_gamma 120.00
loop_
_space_group_symop_operation_xyz
'x,y,z'
'-y,x-y,z'
'-x+y,-x,z'
'-y,-x,z'
'-x+y,y,z'
'x,x-y,z'
loop_
_atom_site_label
_atom_site_type_symbol
_atom_site_fract_x
_atom_site_fract_y
_atom_site_fract_z
_atom_site_occupancy
Dy1 Dy 0.0000 0.0000 0.0000 1
S1 S 0.6667 0.3333 0.1894 1
Cl1 Cl 0.3333 0.6667 0.7522 1
```

Summary:
* crystal system: trigonal
* raw formation energy: -2.101 eV/atom



3.
DFT (PBE) results for a geometry-optimized PmNdMg2 structure.

Structure (CIF):
```
data_PmNdMg2
_space_group_name_H-M_alt 'R -3 m'
_space_group_IT_number 166
_space_group_name_Hall '-R 3 2"'
_cell_length_a 3.5620
_cell_length_b 3.5620
_cell_length_c 33.0050
_cell_angle_alpha 90.00
_cell_angle_beta 90.00
_cell_angle_gamma 120.00
loop_
_atom_site_label
_atom_site_type_symbol
_atom_site_fract_x
_atom_site_fract_y
_atom_site_fract_z
_atom_site_occupancy
Pm1 Pm 0.0000 0.0000 0.0000 1
Nd1 Nd 0.0000 0.0000 0.5000 1
Mg1 Mg 0.0000 0.0000 0.2503 1
```

Summary:
* energy of formation: 0.04 eV/atom
* crystal system: trigonal
* energy relative to the lowest polymorph listed for this composition: 0.159 eV per atom



4.
DFT (PBE) results for a geometry-optimized ZrMnCu2 structure.

Structure (CIF):
```
data_ZrMnCu2
_space_group_name_H-M_alt 'I m m 2'
_space_group_IT_number 44
_cell_length_a 3.838
_cell_length_b 3.856
_cell_length_c 8.007
_cell_angle_alpha 90.00
_cell_angle_beta 90.00
_cell_angle_gamma 90.00
loop_
_space_group_symop_operation_xyz
'x,y,z'
'-x,-y,z'
'-x,y,z'
'x,-y,z'
'x+1/2,y+1/2,z+1/2'
'-x+1/2,-y+1/2,z+1/2'
'-x+1/2,y+1/2,z+1/2'
'x+1/2,-y+1/2,z+1/2'
loop_
_atom_site_label
_atom_site_type_symbol
_atom_site_fract_x
_atom_site_fract_y
_atom_site_fract_z
_atom_site_occupancy
Zr1 Zr 0.000 0.000 0.000 1
Mn1 Mn 0.000 0.500 0.250 1
Cu1 Cu 0.000 0.000 0.500 1
Cu2 Cu 0.000 0.500 0.750 1
```

Summary:
* energy of formation: 0.06 eV/atom
* crystal system: orthorhombic



5.
DFT (PBE) results for a geometry-optimized Si2AgGeN structure.

Structure (CIF):
```
data_Si2AgGeN
_space_group_name_H-M_alt 'P 4/m m m'
_space_group_IT_number 123
_space_group_name_Hall '-P 4 2'
_cell_length_a 5.066
_cell_length_b 5.066
_cell_length_c 3.819
_cell_angle_alpha 90.00
_cell_angle_beta 90.00
_cell_angle_gamma 90.00
loop_
_atom_site_label
_atom_site_type_symbol
_atom_site_fract_x
_atom_site_fract_y
_atom_site_fract_z
_atom_site_occupancy
Si1 Si 0.000 0.500 0.000 1
Ag1 Ag 0.000 0.000 0.000 1
Ge1 Ge 0.500 0.500 0.500 1
N1 N 0.000 0.000 0.500 1
```

Summary:
* crystal system: tetragonal
* raw formation energy: 1.496 eV/atom



6.
DFT (PBE) results for a geometry-optimized YTeAs2 structure.

Structure (CIF):
```
data_YTeAs2
_space_group_name_H-M_alt 'R -3 m'
_space_group_IT_number 166
_space_group_name_Hall '-R 3 2"'
_cell_length_a 4.2741
_cell_length_b 4.2741
_cell_length_c 19.7715
_cell_angle_alpha 90.00
_cell_angle_beta 90.00
_cell_angle_gamma 120.00
loop_
_atom_site_label
_atom_site_type_symbol
_atom_site_fract_x
_atom_site_fract_y
_atom_site_fract_z
_atom_site_occupancy
Y1 Y 0.0000 0.0000 0.0000 1
Te1 Te 0.0000 0.0000 0.5000 1
As1 As 0.0000 0.0000 0.2518 1
```

Summary:
* crystal system: trigonal
* raw formation energy: -0.345 eV/atom



7.
DFT (PBE) results for a geometry-optimized Te3PdPt structure.

Structure (CIF):
```
data_Te3PdPt
_space_group_name_H-M_alt 'P -6 c 2'
_space_group_IT_number 188
_space_group_name_Hall 'P -6c 2'
_cell_length_a 6.9421
_cell_length_b 6.9421
_cell_length_c 5.7240
_cell_angle_alpha 90.00
_cell_angle_beta 90.00
_cell_angle_gamma 120.00
loop_
_atom_site_label
_atom_site_type_symbol
_atom_site_fract_x
_atom_site_fract_y
_atom_site_fract_z
_atom_site_occupancy
Te1 Te 0.0259 0.3586 0.2500 1
Pd1 Pd 0.6667 0.3333 0.0000 1
Pt1 Pt 0.0000 0.0000 0.0000 1
```

Summary:
* crystal system: hexagonal
* energy relative to the lowest polymorph listed for this composition: 0.055 eV per atom
* raw formation energy: -0.257 eV/atom



8.
DFT (PBE) results for a geometry-optimized CoRhAu2 structure.

Structure (CIF):
```
data_CoRhAu2
_space_group_name_H-M_alt 'C 1 2/m 1'
_space_group_IT_number 12
_cell_length_a 9.243
_cell_length_b 2.834
_cell_length_c 4.846
_cell_angle_alpha 90.00
_cell_angle_beta 101.03
_cell_angle_gamma 90.00
loop_
_space_group_symop_operation_xyz
'x,y,z'
'-x,-y,-z'
'-x,y,-z'
'x,-y,z'
'x+1/2,y+1/2,z'
'-x+1/2,-y+1/2,-z'
'-x+1/2,y+1/2,-z'
'x+1/2,-y+1/2,z'
loop_
_atom_site_label
_atom_site_type_symbol
_atom_site_fract_x
_atom_site_fract_y
_atom_site_fract_z
_atom_site_occupancy
Co1 Co 0.000 0.000 0.000 1
Rh1 Rh 0.000 0.500 0.500 1
Au1 Au 0.246 0.500 0.245 1
```

Summary:
* energy of formation: 0.26 eV/atom
* crystal system: monoclinic
* energy relative to the lowest polymorph listed for this composition: 0.163 eV per atom



9.
DFT (PBE) results for a geometry-optimized MnSiPS2 structure.

Structure (CIF):
```
data_MnSiPS2
_space_group_name_H-M_alt 'P 4/m m m'
_space_group_IT_number 123
_space_group_name_Hall '-P 4 2'
_cell_length_a 4.439
_cell_length_b 4.439
_cell_length_c 4.492
_cell_angle_alpha 90.00
_cell_angle_beta 90.00
_cell_angle_gamma 90.00
loop_
_atom_site_label
_atom_site_type_symbol
_atom_site_fract_x
_atom_site_fract_y
_atom_site_fract_z
_atom_site_occupancy
Mn1 Mn 0.000 0.000 0.000 1
Si1 Si 0.500 0.500 0.500 1
P1 P 0.500 0.500 0.000 1
S1 S 0.000 0.500 0.500 1
```

Summary:
* crystal system: tetragonal
* energy relative to the lowest polymorph listed for this composition: 0.450 eV per atom
* raw formation energy: 0.958 eV/atom



10.
DFT (PBE) results for a geometry-optimized AgAsCl3 structure.

Structure (CIF):
```
data_AgAsCl3
_space_group_name_H-M_alt 'P 1 21/c 1'
_space_group_IT_number 14
_cell_length_a 8.195
_cell_length_b 6.189
_cell_length_c 14.114
_cell_angle_alpha 90.00
_cell_angle_beta 104.63
_cell_angle_gamma 90.00
loop_
_space_group_symop_operation_xyz
'x,y,z'
'-x,-y,-z'
'-x,y+1/2,-z+1/2'
'x,-y+1/2,z+1/2'
loop_
_atom_site_label
_atom_site_type_symbol
_atom_site_fract_x
_atom_site_fract_y
_atom_site_fract_z
_atom_site_occupancy
Ag1 Ag 0.011 0.072 0.253 1
As1 As 0.462 0.634 0.059 1
Cl1 Cl 0.026 0.179 0.626 1
Cl2 Cl 0.309 0.168 0.936 1
Cl3 Cl 0.438 0.580 0.813 1
```

Summary:
* crystal system: monoclinic
* energy relative to the lowest polymorph listed for this composition: 0.000 eV per atom
* raw formation energy: -0.509 eV/atom



11.
DFT (PBE) results for a geometry-optimized AsP2WCl structure.

Structure (CIF):
```
data_AsP2WCl
_space_group_name_H-M_alt 'P 4/m m m'
_space_group_IT_number 123
_space_group_name_Hall '-P 4 2'
_cell_length_a 4.769
_cell_length_b 4.769
_cell_length_c 4.720
_cell_angle_alpha 90.00
_cell_angle_beta 90.00
_cell_angle_gamma 90.00
loop_
_atom_site_label
_atom_site_type_symbol
_atom_site_fract_x
_atom_site_fract_y
_atom_site_fract_z
_atom_site_occupancy
As1 As 0.000 0.000 0.000 1
P1 P 0.000 0.500 0.500 1
W1 W 0.500 0.500 0.500 1
Cl1 Cl 0.500 0.500 0.000 1
```

Summary:
* crystal system: tetragonal
* energy relative to the lowest polymorph listed for this composition: 0.000 eV per atom
* raw formation energy: 0.639 eV/atom



12.
DFT (PBE) results for a geometry-optimized PrGa2Ge structure.

Structure (CIF):
```
data_PrGa2Ge
_space_group_name_H-M_alt 'R -3 m'
_space_group_IT_number 166
_space_group_name_Hall '-R 3 2"'
_cell_length_a 4.4950
_cell_length_b 4.4950
_cell_length_c 15.4921
_cell_angle_alpha 90.00
_cell_angle_beta 90.00
_cell_angle_gamma 120.00
loop_
_atom_site_label
_atom_site_type_symbol
_atom_site_fract_x
_atom_site_fract_y
_atom_site_fract_z
_atom_site_occupancy
Pr1 Pr 0.0000 0.0000 0.0000 1
Ga1 Ga 0.0000 0.0000 0.2179 1
Ge1 Ge 0.0000 0.0000 0.5000 1
```

Summary:
* energy of formation: -0.35 eV/atom
* crystal system: trigonal
* energy relative to the lowest polymorph listed for this composition: 0.143 eV per atom



13.
DFT (PBE) results for a geometry-optimized CaSc2P structure.

Structure (CIF):
```
data_CaSc2P
_space_group_name_H-M_alt 'C m m m'
_space_group_IT_number 65
_space_group_name_Hall '-C 2 2'
_cell_length_a 5.728
_cell_length_b 10.592
_cell_length_c 3.620
_cell_angle_alpha 90.00
_cell_angle_beta 90.00
_cell_angle_gamma 90.00
loop_
_atom_site_label
_atom_site_type_symbol
_atom_site_fract_x
_atom_site_fract_y
_atom_site_fract_z
_atom_site_occupancy
Ca1 Ca 0.000 0.000 0.000 1
Sc1 Sc 0.000 0.332 0.500 1
P1 P 0.000 0.500 0.000 1
```

Summary:
* energy of formation: -0.48 eV/atom
* crystal system: orthorhombic



no.,E (eV per atom),magnetic moment (μB per cell)
1,-3.75,0.9
2,-5.63,0.0
3,-3.13,0.0
4,-6.42,4.6
5,-3.83,0.0
6,-5.07,0.0
7,-4.39,0.0
8,-4.99,5.5
9,-4.69,0.1
10,-3.12,0.0
11,-5.42,1.8
12,-4.21,0.0
13,-5.50,0.0